Entry 1:
! BRh3, relaxed, DFT PBE; values from VASP
! volume: 54.3 Å³ per cell
! crystal system: orthorhombic
! E_form: 0.3054 eV/atom
! E: -6.878 eV per atom
&SYSTEM
  ibrav = 0, nat = 4, ntyp = 2
/
ATOMIC_SPECIES
B 10.81 B.upf
Rh 102.91 Rh.upf
ATOMIC_POSITIONS crystal
B 0.000 0.000 0.138
Rh 0.500 0.000 0.475
Rh 0.500 0.500 0.792
Rh 0.000 0.500 0.261
CELL_PARAMETERS angstrom
-1.149 -0.429 2.475
-2.842 -2.467 -1.747
2.835 -3.739 0.668

Entry 2:
! AcMgCd6Ag, relaxed, DFT PBE; values from VASP
! volume: 476.8 Å³ per cell
! crystal system: orthorhombic
! E_form: -0.0218 eV/atom
! E: -1.582 eV per atom
&SYSTEM
  ibrav = 0, nat = 18, ntyp = 4
/
ATOMIC_SPECIES
Ac 227.00 Ac.upf
Mg 24.30 Mg.upf
Cd 112.41 Cd.upf
Ag 107.87 Ag.upf
ATOMIC_POSITIONS crystal
Ac 0.702 0.452 0.404
Ac 0.298 0.548 0.596
Mg 0.500 0.000 0.500
Mg 0.000 0.000 0.500
Cd 0.582 0.832 0.164
Cd 0.988 0.238 0.975
Cd 0.937 0.135 0.254
Cd 0.317 0.619 0.254
Cd 0.317 0.135 0.254
Cd 0.937 0.619 0.254
Cd 0.418 0.168 0.836
Cd 0.012 0.762 0.025
Cd 0.063 0.865 0.746
Cd 0.683 0.381 0.746
Cd 0.683 0.865 0.746
Cd 0.063 0.381 0.746
Ag 0.500 0.500 0.000
Ag 0.500 0.000 0.000
CELL_PARAMETERS angstrom
-5.314 -0.998 -5.599
0.774 -9.982 1.044
-2.152 5.584 6.457

Entry 3:
! Pr2BeGePt6, relaxed, DFT PBE; values from VASP
! volume: 195.2 Å³ per cell
! crystal system: monoclinic
! E_form: -0.8102 eV/atom
! E: -6.225 eV per atom
&SYSTEM
  ibrav = 0, nat = 10, ntyp = 4
/
ATOMIC_SPECIES
Pr 140.91 Pr.upf
Be 9.01 Be.upf
Ge 72.64 Ge.upf
Pt 195.08 Pt.upf
ATOMIC_POSITIONS crystal
Pr 0.745 0.206 0.511
Pr 0.255 0.794 0.489
Be 0.500 0.500 0.000
Ge 0.000 0.000 0.000
Pt 0.256 0.379 0.489
Pt 0.742 0.734 0.009
Pt 0.250 0.734 0.009
Pt 0.750 0.266 0.991
Pt 0.258 0.266 0.991
Pt 0.744 0.621 0.511
CELL_PARAMETERS angstrom
-4.981 1.258 -2.220
-3.406 -1.132 7.001
-3.469 4.365 3.201

Entry 4:
! La3TbHo2Se6, relaxed, DFT PBE; values from VASP
! volume: 311.9 Å³ per cell
! crystal system: monoclinic
! ΔE_f (raw): -22.5 eV per formula unit
! E: -6.002 eV per atom
&SYSTEM
  ibrav = 0, nat = 12, ntyp = 4
/
ATOMIC_SPECIES
La 138.91 La.upf
Tb 158.93 Tb.upf
Ho 164.93 Ho.upf
Se 78.96 Se.upf
ATOMIC_POSITIONS crystal
La 0.166 0.834 0.500
La 0.834 0.166 0.500
La 0.500 0.500 0.500
Tb 0.000 0.000 0.000
Ho 0.333 0.667 0.000
Ho 0.667 0.333 0.000
Se 0.923 0.588 0.770
Se 0.741 0.741 0.230
Se 0.077 0.412 0.230
Se 0.588 0.923 0.770
Se 0.259 0.259 0.770
Se 0.412 0.077 0.230
CELL_PARAMETERS angstrom
7.197 -0.012 -0.002
-3.607 6.227 -0.002
-1.200 -2.077 6.968